MnPHO2 | PBE with a Hubbard U | relaxed

a b c (Å): 3.573 3.573 5.237
angles (deg): 90.00 90.00 90.00
Sites, in units of the cell vectors:
Mn1 0.000 0.000 0.000
P1 0.000 0.000 0.500
H1 0.500 0.500 0.500
O1 0.000 0.500 0.000
O2 0.500 0.000 0.000

Output
The calculation puts the density of states at the Fermi level at 0.628 states/eV per atom. Its space group is P4/mmm (123). The energy above the most stable polymorph in this dataset comes out at 142 meV/atom.